Entry 1:
CeHo3Ir2 | GGA-PBE | relaxed

Values from the calculation:
* size of the total moment: 0.60 μB per formula unit
* crystal system: orthorhombic
* DFT formation energy: -0.640 eV/atom

Lattice parameters (Å, degrees): 8.361 8.361 8.361 131.92 71.57 130.40
Positions (direct):
Ce  0.000  0.000  0.000
Ce  0.500  0.500  0.000
Ho  0.006  0.250  0.756
Ho  0.250  0.750  0.500
Ho  0.494  0.250  0.244
Ho  0.506  0.750  0.756
Ho  0.750  0.250  0.500
Ho  0.994  0.750  0.244
Ir  0.132  0.729  0.861
Ir  0.368  0.229  0.597
Ir  0.632  0.771  0.403
Ir  0.868  0.271  0.139

---

Entry 2:
NpCr2S4 | GGA-PBE | relaxed

Values from the calculation:
* size of the total moment: 10.77 μB per formula unit
* energy relative to the elements, uncorrected: -871.2 meV per atom
* crystal system: orthorhombic

Lattice parameters (Å, degrees): 6.085 6.085 12.047 90.00 90.00 144.95
Positions (direct):
Np  0.122  0.878  0.750
Np  0.878  0.122  0.250
Cr  0.367  0.633  0.568
Cr  0.367  0.633  0.932
Cr  0.633  0.367  0.068
Cr  0.633  0.367  0.432
S  0.000  0.000  0.000
S  0.000  0.000  0.500
S  0.271  0.729  0.111
S  0.271  0.729  0.389
S  0.449  0.551  0.750
S  0.551  0.449  0.250
S  0.729  0.271  0.611
S  0.729  0.271  0.889

---

Entry 3:
TlVBi2 | GGA-PBE | relaxed

Values from the calculation:
* size of the total moment: 3.16 μB per formula unit
* crystal system: cubic
* DFT formation energy: 0.434 eV/atom

Lattice parameters (Å, degrees): 5.340 5.340 5.340 60.00 60.00 60.00
Positions (direct):
Tl  0.000  0.000  0.000
V  0.500  0.500  0.500
Bi  0.250  0.250  0.250
Bi  0.750  0.750  0.750

---

Entry 4:
Ac3Tm2Pb4 | GGA-PBE | relaxed

Values from the calculation:
* size of the total moment: 0.00 μB per formula unit
* crystal system: monoclinic
* DFT formation energy: -0.450 eV/atom

Lattice parameters (Å, degrees): 7.427 7.427 10.272 113.51 113.51 38.28
Positions (direct):
Ac  0.000  0.000  0.000
Ac  0.378  0.378  0.299
Ac  0.622  0.622  0.701
Tm  0.315  0.315  0.643
Tm  0.685  0.685  0.357
Pb  0.076  0.076  0.408
Pb  0.297  0.297  0.932
Pb  0.703  0.703  0.068
Pb  0.924  0.924  0.592

---

Entry 5:
Ce3SbAsN | GGA-PBE | relaxed

Values from the calculation:
* size of the total moment: 2.59 μB per formula unit
* energy relative to the elements, uncorrected: -1221.1 meV per atom
* crystal system: monoclinic

Lattice parameters (Å, degrees): 8.936 4.199 9.170 90.00 100.85 90.00
Positions (direct):
Ce  0.079  0.250  0.337
Ce  0.338  0.250  0.983
Ce  0.390  0.750  0.654
Ce  0.610  0.250  0.346
Ce  0.662  0.750  0.017
Ce  0.921  0.750  0.663
Sb  0.328  0.750  0.279
Sb  0.672  0.250  0.721
As  0.155  0.250  0.662
As  0.845  0.750  0.338
N  0.416  0.750  0.902
N  0.584  0.250  0.098

---

Entry 6:
TbPmF4 | GGA-PBE | relaxed

Values from the calculation:
* size of the total moment: 0.00 μB per formula unit
* energy relative to the elements, uncorrected: -3343.4 meV per atom
* crystal system: tetragonal

Lattice parameters (Å, degrees): 6.596 6.596 6.596 109.56 109.56 109.29
Positions (direct):
Tb  0.000  0.000  0.000
Tb  0.750  0.250  0.500
Pm  0.224  0.724  0.500
Pm  0.474  0.474  0.000
F  0.406  0.188  0.218
F  0.516  0.205  0.689
F  0.516  0.827  0.311
F  0.577  0.766  0.811
F  0.938  0.220  0.282
F  0.938  0.656  0.718
F  0.955  0.766  0.189
F  0.970  0.188  0.782

---

Entry 7:
V3SiMo | GGA-PBE | relaxed

Values from the calculation:
* size of the total moment: 0.02 μB per formula unit
* energy relative to the elements, uncorrected: 853.9 meV per atom
* crystal system: cubic

Lattice parameters (Å, degrees): 4.329 4.329 4.329 90.00 90.00 90.00
Positions (direct):
V  0.000  0.000  0.500
V  0.000  0.500  0.000
V  0.500  0.000  0.000
Si  0.000  0.000  0.000
Mo  0.500  0.500  0.500

---

Entry 8:
Ta2TlPb | GGA-PBE | relaxed

Values from the calculation:
* size of the total moment: 0.00 μB per formula unit
* crystal system: orthorhombic
* DFT formation energy: 0.358 eV/atom

Lattice parameters (Å, degrees): 3.057 3.057 11.056 90.00 90.00 110.70
Positions (direct):
Ta  0.000  0.000  0.000
Ta  0.500  0.500  0.189
Tl  0.500  0.500  0.757
Pb  0.000  0.000  0.426

---

Entry 9:
MnTlTe2 | GGA-PBE | relaxed

Values from the calculation:
* size of the total moment: 3.39 μB per formula unit
* energy relative to the elements, uncorrected: -131.3 meV per atom
* crystal system: triclinic

Lattice parameters (Å, degrees): 3.992 6.522 9.960 80.82 78.81 89.87
Positions (direct):
Mn  0.000  0.000  0.000
Mn  0.498  0.353  0.005
Tl  0.223  0.820  0.571
Tl  0.373  0.481  0.267
Te  0.036  0.611  0.926
Te  0.408  0.992  0.190
Te  0.590  0.115  0.814
Te  0.761  0.449  0.499

---

Entry 10:
TlCu2Ru | GGA-PBE | relaxed

Values from the calculation:
* size of the total moment: 0.19 μB per formula unit
* crystal system: tetragonal
* DFT formation energy: 0.343 eV/atom

Lattice parameters (Å, degrees): 3.939 3.939 3.918 90.00 90.00 90.00
Positions (direct):
Tl  0.000  0.000  0.000
Cu  0.000  0.500  0.500
Cu  0.500  0.000  0.500
Ru  0.500  0.500  0.000